Computed, not measured: Ac2HoCrO6 after structural relaxation at the GGA+U level of DFT.

Values from the calculation:
The value obtained for the total energy is -8.089 eV per atom.

CIF file:
```
data_Ac2HoCrO6
_chemical_formula_sum 'Ac4 Ho2 Cr2 O12'
_space_group_name_H-M_alt 'C 1 2/m 1'
_space_group_IT_number 12
_space_group_name_Hall '-C 2y'
_cell_length_a 10.116
_cell_length_b 5.842
_cell_length_c 5.919
_cell_angle_alpha 90.00
_cell_angle_beta 124.70
_cell_angle_gamma 90.00
loop_
_atom_site_label
_atom_site_fract_x
_atom_site_fract_y
_atom_site_fract_z
Ac1 0.247 0.000 0.234
Ho1 0.000 0.000 0.500
Cr1 0.000 0.500 0.000
O1 0.053 0.258 0.816
O2 0.238 0.500 0.330
```